(1)
This record from the Alexandria database describes an optimized crystal structure of ScTa2S5. The functional is PBE.

Computed properties:
ρ (g/cm3): 4.65
Formation energy from raw total energies (eV/atom): -0.99
Electronic total energy (eV per atom): -7.32

```
ScTa2S5
1.0
-1.3615 -2.8616 3.2980
5.6975 -2.9854 2.9546
-0.3802 3.4999 6.0514
Sc Ta S
1 2 5
direct
0.5000 0.5000 0.5000
0.8141 0.5000 0.8717
0.1859 0.5000 0.1283
0.2180 0.7274 0.8358
0.5539 0.7274 0.1642
0.0000 0.5000 0.5000
0.7820 0.2726 0.1642
0.4461 0.2726 0.8358
```

(2)
This record from the Alexandria database describes an optimized crystal structure of CaYHo. The functional is PBE.

Computed properties:
Energy above the most stable polymorph in this dataset (kJ/mol of formula units): 6.8
ρ (g/cm3): 4.74
Calculated formation energy (meV per atom): 71.4
Electronic total energy (eV per atom): -4.28

```
CaYHo
1.0
-1.2162 -2.7800 2.0059
-0.5256 -1.9520 -3.0240
8.1238 -0.4194 1.0465
Y Ca Ho
1 1 1
direct
0.6768 0.6768 0.3536
0.9993 0.9993 0.9985
0.3240 0.3240 0.6479
```

(3)
This record from the Alexandria database describes an optimized crystal structure of Dy12Er6Cd. The functional is PBE.

Computed properties:
Energy above the most stable polymorph in this dataset (kJ/mol of formula units): 30.0
ρ (g/cm3): 8.45
Calculated formation energy (meV per atom): 124.8
Electronic total energy (eV per atom): -4.27

```
Dy12Er6Cd
1.0
8.4757 -0.2940 -0.8015
-0.8527 8.4379 -0.8015
-0.2752 -0.2940 8.5091
Dy Er Cd
12 6 1
direct
0.5830 0.1691 0.5828
0.1691 0.5828 0.5830
0.5828 0.5830 0.1691
0.4170 0.8309 0.4172
0.8309 0.4172 0.4170
0.4172 0.4170 0.8309
0.2602 0.0004 0.7398
0.2602 0.7398 0.9996
0.9996 0.2602 0.7398
0.7398 0.9996 0.2602
0.7398 0.2602 0.0004
0.0004 0.7398 0.2602
0.1358 0.1364 0.4078
0.8636 0.5921 0.8642
0.5922 0.8642 0.8636
0.8642 0.8636 0.5922
0.1364 0.4078 0.1358
0.4078 0.1358 0.1364
0.0000 0.0000 0.0000
```

(4)
This record from the Alexandria database describes an optimized crystal structure of SrIn3P. The functional is PBE.

Computed properties:
Energy above the most stable polymorph in this dataset (kJ/mol of formula units): 524.5
ρ (g/cm3): 3.45
Calculated formation energy (meV per atom): 1139.3
Electronic total energy (eV per atom): -1.92

```
SrIn3P
1.0
6.0644 0.0000 0.0000
0.0000 6.0644 0.0000
0.0000 0.0000 6.0644
Sr P In
1 1 3
direct
0.0000 0.0000 0.0000
0.5000 0.5000 0.5000
0.0000 0.5000 0.0000
0.0000 0.0000 0.5000
0.5000 0.0000 0.0000
```

(5)
This record from the Alexandria database describes an optimized crystal structure of YTi2Pt. The functional is PBE.

Computed properties:
Energy above the most stable polymorph in this dataset (kJ/mol of formula units): 4.9
ρ (g/cm3): 7.94
Calculated formation energy (meV per atom): -507.1
Electronic total energy (eV per atom): -7.58

```
YTi2Pt
1.0
9.0375 0.0000 -0.0112
0.0000 4.5778 0.0000
-3.1629 0.0000 7.6807
Y Pt Ti
4 4 8
direct
0.8154 0.0000 0.9053
0.8154 0.5000 0.4053
0.0740 0.0000 0.6790
0.0740 0.5000 0.1790
0.2941 0.0000 0.1188
0.2941 0.5000 0.6188
0.9156 0.0000 0.2778
0.9156 0.5000 0.7778
0.2995 0.0000 0.4378
0.2995 0.5000 0.9378
0.4514 0.0000 0.7975
0.4514 0.5000 0.2975
0.6190 0.0000 0.4841
0.6190 0.5000 0.9841
0.5853 0.0000 0.1463
0.5853 0.5000 0.6463
```

(6)
This record from the Alexandria database describes an optimized crystal structure of SmIn2Cu. The functional is PBE.

Computed properties:
ρ (g/cm3): 7.68
Calculated formation energy (meV per atom): -259.2
Electronic total energy (eV per atom): -3.83

```
SmIn2Cu
1.0
-2.0096 0.3996 3.9991
-3.1418 -2.9628 1.2417
2.1551 -4.0129 4.0084
Cu Sm In
1 1 2
direct
0.5000 0.5000 0.5000
0.0000 0.0000 0.0000
0.7819 0.7819 0.6544
0.2181 0.2181 0.3456
```

(7)
This record from the Alexandria database describes an optimized crystal structure of TlCoH2. The functional is PBE.

Computed properties:
Energy above the most stable polymorph in this dataset (kJ/mol of formula units): 295.1
ρ (g/cm3): 10.59
Electronic total energy (eV per atom): -3.02

```
TlCoH2
1.0
1.4687 -2.8475 2.2057
-2.3730 -2.6055 1.6463
-0.0447 -3.6724 -1.2813
H Tl Co
2 1 1
direct
0.2500 0.2500 0.2500
0.7500 0.7500 0.7500
0.5000 0.5000 0.5000
0.0000 0.0000 0.0000
```

(8)
This record from the Alexandria database describes an optimized crystal structure of Li2PuRh2. The functional is PBE.

Computed properties:
ρ (g/cm3): 9.75
Calculated formation energy (meV per atom): -216.8
Electronic total energy (eV per atom): -6.79

```
Li2PuRh2
1.0
-0.1280 2.7771 3.5432
2.3323 -1.4797 3.5571
3.8379 2.2174 -0.2490
Li Pu Rh
2 1 2
direct
0.9058 0.4058 0.7490
0.0942 0.5942 0.2510
0.5000 0.0000 0.0000
0.7138 0.2138 0.3418
0.2862 0.7862 0.6582
```

(9)
This record from the Alexandria database describes an optimized crystal structure of TbLuZnFe. The functional is PBE.

Computed properties:
ρ (g/cm3): 9.35
Calculated formation energy (meV per atom): -91.0
Electronic total energy (eV per atom): -4.81

```
TbLuZnFe
1.0
-1.8872 -4.3478 -1.0466
2.7024 -3.3380 -2.2616
1.5031 -3.9403 2.4030
Zn Lu Tb Fe
1 1 1 1
direct
0.0000 0.0000 0.0000
0.2500 0.2500 0.2500
0.7500 0.7500 0.7500
0.5000 0.5000 0.5000
```

(10)
This record from the Alexandria database describes an optimized crystal structure of ThAg3. The functional is PBE.

Computed properties:
ρ (g/cm3): 10.12
Calculated formation energy (meV per atom): 85.2
Electronic total energy (eV per atom): -3.91

```
ThAg3
1.0
3.2813 0.0000 0.0000
0.0000 4.7771 0.0000
0.0000 0.0000 5.8138
Ag Th
3 1
direct
0.0000 0.0000 0.9578
0.5000 0.0000 0.5485
0.5000 0.5000 0.8357
0.0000 0.5000 0.3246
```

(11)
This record from the Alexandria database describes an optimized crystal structure of Ba5Ta. The functional is PBE.

Computed properties:
Energy above the most stable polymorph in this dataset (kJ/mol of formula units): 0.0
ρ (g/cm3): 4.66
Calculated formation energy (meV per atom): 574.9
Electronic total energy (eV per atom): -3.00

```
Ba5Ta
1.0
-0.7018 -6.8820 -3.4371
3.3963 -6.5744 -2.2160
-1.5024 -7.7432 6.9929
Ba Ta
5 1
direct
0.3701 0.3701 0.8725
0.0000 0.0000 0.5000
0.6299 0.6299 0.1275
0.6619 0.6619 0.7270
0.3381 0.3381 0.2730
0.0000 0.0000 0.0000
```

(12)
This record from the Alexandria database describes an optimized crystal structure of LiMgAsP2. The functional is PBE.

Computed properties:
ρ (g/cm3): 2.65
Calculated formation energy (meV per atom): 334.0
Electronic total energy (eV per atom): -3.46

```
LiMgAsP2
1.0
4.8630 0.0000 0.0000
0.0000 4.4516 0.0000
0.0000 0.0000 4.8630
P As Mg Li
2 1 1 1
direct
0.0000 0.0000 0.5000
0.5000 0.0000 0.0000
0.0000 0.0000 0.0000
0.5000 0.5000 0.5000
0.0000 0.5000 0.0000
```

(13)
This record from the Alexandria database describes an optimized crystal structure of NbAlCo5. The functional is PBE.

Computed properties:
ρ (g/cm3): 7.61
Calculated formation energy (meV per atom): 47.5
Electronic total energy (eV per atom): -7.00

```
NbAlCo5
1.0
-0.4262 3.7371 -1.2432
0.4993 -1.1891 -3.7457
-5.6833 -0.8142 -0.4991
Nb Al Co
1 1 5
direct
0.0000 0.0000 0.5000
0.5000 0.5000 0.0000
0.0000 0.5000 0.7692
0.0000 0.5000 0.2308
0.5000 0.0000 0.7692
0.5000 0.0000 0.2308
0.5000 0.5000 0.5000
```

(14)
This record from the Alexandria database describes an optimized crystal structure of ZrAlGa2. The functional is PBE.

Computed properties:
ρ (g/cm3): 5.62
Calculated formation energy (meV per atom): -138.7
Electronic total energy (eV per atom): -4.72

```
ZrAlGa2
1.0
7.3507 0.0000 0.0000
0.0000 7.3507 0.0000
3.6753 3.6753 2.8188
Ga Zr Al
4 2 2
direct
0.5974 0.1250 0.2500
0.1526 0.6250 0.2500
0.3750 0.4026 0.7500
0.8750 0.8474 0.7500
0.0000 0.0000 0.0000
0.7500 0.2500 0.5000
0.5000 0.5000 0.0000
0.2500 0.7500 0.5000
```

(15)
This record from the Alexandria database describes an optimized crystal structure of CoSn3Pd. The functional is PBE.

Computed properties:
Energy above the most stable polymorph in this dataset (kJ/mol of formula units): 113.1
ρ (g/cm3): 7.62
Calculated formation energy (meV per atom): 153.7
Electronic total energy (eV per atom): -4.71

```
CoSn3Pd
1.0
4.8428 0.0000 0.0000
0.0000 4.8428 0.0000
0.0000 0.0000 4.8428
Co Sn Pd
1 3 1
direct
0.0000 0.0000 0.0000
0.0000 0.5000 0.0000
0.0000 0.0000 0.5000
0.5000 0.0000 0.0000
0.5000 0.5000 0.5000
```

(16)
This record from the Alexandria database describes an optimized crystal structure of ThPHRu2. The functional is PBE.

Computed properties:
ρ (g/cm3): 10.49
Electronic total energy (eV per atom): -7.57

```
ThPHRu2
1.0
-3.3097 2.0338 -0.3477
-0.9474 -5.5039 -1.3013
-1.5215 -1.3271 6.7210
Th P H Ru
2 2 2 4
direct
0.4343 0.8687 0.7500
0.5657 0.1313 0.2500
0.7157 0.4314 0.7500
0.2843 0.5686 0.2500
0.0000 0.0000 0.0000
0.0000 0.0000 0.5000
0.1631 0.3262 0.9489
0.8369 0.6738 0.0511
0.1631 0.3262 0.5511
0.8369 0.6738 0.4489
```

(17)
This record from the Alexandria database describes an optimized crystal structure of VCrTcPt. The functional is PBE.

Computed properties:
ρ (g/cm3): 11.54
Calculated formation energy (meV per atom): -156.2
Electronic total energy (eV per atom): -8.94

```
VCrTcPt
1.0
-0.7415 0.4861 -4.2271
-3.9964 -0.4926 -1.5621
-2.1996 3.4326 -1.4259
Cr Tc Pt V
1 1 1 1
direct
0.5000 0.5000 0.5000
0.2500 0.2500 0.2500
0.7500 0.7500 0.7500
0.0000 0.0000 0.0000
```

(18)
This record from the Alexandria database describes an optimized crystal structure of CoTc2Ru. The functional is PBE.

Computed properties:
Energy above the most stable polymorph in this dataset (kJ/mol of formula units): 117.7
ρ (g/cm3): 10.78
Calculated formation energy (meV per atom): 269.4
Electronic total energy (eV per atom): -9.01

```
CoTc2Ru
1.0
-2.8040 -4.2344 1.3902
0.7750 -2.4100 4.6169
-1.3539 4.2970 -2.7253
Co Ru Tc
1 1 2
direct
0.4967 0.4967 0.0000
0.2756 0.7756 0.5000
0.0093 0.0093 0.0000
0.7184 0.2184 0.5000
```

(19)
This record from the Alexandria database describes an optimized crystal structure of Gd2DyTm. The functional is PBE.

Computed properties:
Energy above the most stable polymorph in this dataset (kJ/mol of formula units): 0.0
ρ (g/cm3): 8.52
Calculated formation energy (meV per atom): 27.6
Electronic total energy (eV per atom): -9.28

```
Gd2DyTm
1.0
3.5459 0.0000 0.0000
1.7729 3.0708 0.0000
1.7729 1.0236 11.5592
Gd Tm Dy
2 1 1
direct
0.7495 0.7495 0.7516
0.2505 0.2505 0.2484
0.0000 0.0000 0.0000
0.5000 0.5000 0.5000
```

(20)
This record from the Alexandria database describes an optimized crystal structure of MnZnIr6. The functional is PBE.

Computed properties:
ρ (g/cm3): 18.67
Calculated formation energy (meV per atom): -62.6
Electronic total energy (eV per atom): -8.01

```
MnZnIr6
1.0
3.8459 0.0000 0.0000
0.0000 3.8459 0.0000
0.0000 0.0000 7.6593
Mn Zn Ir
1 1 6
direct
0.0000 0.0000 0.5000
0.0000 0.0000 0.0000
0.5000 0.5000 0.0000
0.5000 0.5000 0.5000
0.5000 0.0000 0.2581
0.5000 0.0000 0.7419
0.0000 0.5000 0.2581
0.0000 0.5000 0.7419
```

(21)
This record from the Alexandria database describes an optimized crystal structure of Tb2Zn3Pd. The functional is PBE.

Computed properties:
Energy above the most stable polymorph in this dataset (kJ/mol of formula units): 0.0
ρ (g/cm3): 8.38
Calculated formation energy (meV per atom): -532.5
Electronic total energy (eV per atom): -3.58

```
Tb2Zn3Pd
1.0
3.5803 0.0000 0.0000
0.0000 4.4537 0.0000
0.0000 0.0000 7.7126
Tb Zn Pd
2 3 1
direct
0.0000 0.5000 0.0166
0.0000 0.0000 0.4847
0.5000 0.0000 0.8295
0.5000 0.0000 0.1579
0.5000 0.5000 0.6754
0.5000 0.5000 0.3359
```

(22)
This record from the Alexandria database describes an optimized crystal structure of Cr2CoMo. The functional is PBE.

Computed properties:
ρ (g/cm3): 8.53
Calculated formation energy (meV per atom): 158.6
Electronic total energy (eV per atom): -9.14

```
Cr2CoMo
1.0
4.8004 -0.0010 -0.0014
2.0901 4.3216 0.0014
-3.0290 -2.8242 2.4277
Co Cr Mo
1 2 1
direct
0.2454 0.7454 0.5000
0.9879 0.9879 0.0000
0.7588 0.2588 0.5000
0.5080 0.5080 0.0000
```

(23)
This record from the Alexandria database describes an optimized crystal structure of KTaIr2. The functional is PBE.

Computed properties:
Energy above the most stable polymorph in this dataset (kJ/mol of formula units): 180.4
ρ (g/cm3): 11.11
Calculated formation energy (meV per atom): 431.8
Electronic total energy (eV per atom): -7.24

```
KTaIr2
1.0
-0.5499 -1.0215 -2.5663
2.3955 -3.2528 0.7815
-6.1539 -3.8472 2.8500
Ir K Ta
2 1 1
direct
0.0000 0.0000 0.9882
0.5000 0.5000 0.1774
0.0000 0.0000 0.4711
0.5000 0.5000 0.8634
```

(24)
This record from the Alexandria database describes an optimized crystal structure of Rb3LaBr. The functional is PBE.

Computed properties:
ρ (g/cm3): 1.97
Formation energy from raw total energies (eV/atom): 0.39
Electronic total energy (eV per atom): -1.51

```
Rb3LaBr
1.0
-5.7466 -3.5412 -2.9491
-1.8551 -2.5376 6.6618
-4.2186 5.9398 1.0879
Br Rb La
1 3 1
direct
0.5000 0.5000 0.5000
0.0000 0.5000 0.0000
0.0000 0.0000 0.5000
0.5000 0.0000 0.0000
0.0000 0.0000 0.0000
```

(25)
This record from the Alexandria database describes an optimized crystal structure of CsSr3Br. The functional is PBE.

Computed properties:
Energy above the most stable polymorph in this dataset (kJ/mol of formula units): 0.0
ρ (g/cm3): 2.67
Formation energy from raw total energies (eV/atom): -0.33
Electronic total energy (eV per atom): -1.85

```
CsSr3Br
1.0
6.6670 0.0000 0.0000
0.0000 6.6670 0.0000
0.0000 0.0000 6.6670
Cs Sr Br
1 3 1
direct
0.5000 0.5000 0.5000
0.0000 0.5000 0.0000
0.0000 0.0000 0.5000
0.5000 0.0000 0.0000
0.0000 0.0000 0.0000
```

(26)
This record from the Alexandria database describes an optimized crystal structure of BaHf3O. The functional is PBE.

Computed properties:
Energy above the most stable polymorph in this dataset (kJ/mol of formula units): 0.0
ρ (g/cm3): 10.94
Formation energy from raw total energies (eV/atom): -0.31
Electronic total energy (eV per atom): -7.66

```
BaHf3O
1.0
-1.2507 1.8015 -4.1689
-2.2783 -3.9896 -1.0404
-3.9287 1.7400 1.9306
Hf Ba O
3 1 1
direct
0.0000 0.5000 0.0000
0.0000 0.0000 0.5000
0.5000 0.0000 0.0000
0.5000 0.5000 0.5000
0.0000 0.0000 0.0000
```

(27)
This record from the Alexandria database describes an optimized crystal structure of LaNi2Mo. The functional is PBE.

Computed properties:
Energy above the most stable polymorph in this dataset (kJ/mol of formula units): 148.9
ρ (g/cm3): 8.78
Calculated formation energy (meV per atom): 326.8
Electronic total energy (eV per atom): -6.50

```
LaNi2Mo
1.0
5.6096 0.0000 0.0196
2.9095 4.7961 -0.0196
-3.6782 -3.4307 2.4838
La Mo Ni
1 1 2
direct
0.5084 0.5084 0.0000
0.2225 0.7225 0.5000
0.9891 0.9891 0.0000
0.7800 0.2800 0.5000
```

Calculated M_tot in order - 0.0000 0.0000 0.0000 0.0001 0.0002 0.0000 0.1830 0.8935 0.2998 0.0000 0.4092 0.0000 0.5931 0.0000 0.0000 0.0000 0.9145 0.3563 3.6374 0.1551 0.0000 0.4292 0.0001 0.6368 0.0000 0.0000 0.0004 μB per atom